Record 1
Entry from Alexandria: a relaxed structure of In5Te3S12 (PBE).

Properties
uncorrected formation energy = -2.44 eV per formula unit
space group = No. 230

```
data_In5Te3S12
_cell_length_a 13.904
_cell_length_b 13.904
_cell_length_c 13.904
_cell_angle_alpha 109.47
_cell_angle_beta 109.47
_cell_angle_gamma 109.47
_space_group_name_H-M_alt 'P 1'
_space_group_IT_number 1
loop_
_space_group_symop_operation_xyz
'x,y,z'
loop_
_atom_site_label
_atom_site_type_symbol
_atom_site_fract_x
_atom_site_fract_y
_atom_site_fract_z
In1 In 0.000 0.000 0.000
In2 In 0.000 0.000 0.500
In3 In 0.000 0.500 0.000
In4 In 0.000 0.500 0.500
In5 In 0.125 0.750 0.875
In6 In 0.125 0.875 0.250
In7 In 0.250 0.125 0.875
In8 In 0.250 0.625 0.375
In9 In 0.375 0.250 0.625
In10 In 0.375 0.625 0.750
In11 In 0.500 0.000 0.000
In12 In 0.500 0.000 0.500
In13 In 0.500 0.500 0.000
In14 In 0.500 0.500 0.500
In15 In 0.625 0.375 0.250
In16 In 0.625 0.750 0.375
In17 In 0.750 0.375 0.625
In18 In 0.750 0.875 0.125
In19 In 0.875 0.125 0.750
In20 In 0.875 0.250 0.125
Te1 Te 0.125 0.250 0.375
Te2 Te 0.125 0.375 0.750
Te3 Te 0.250 0.375 0.125
Te4 Te 0.250 0.875 0.625
Te5 Te 0.375 0.125 0.250
Te6 Te 0.375 0.750 0.125
Te7 Te 0.625 0.250 0.875
Te8 Te 0.625 0.875 0.750
Te9 Te 0.750 0.125 0.375
Te10 Te 0.750 0.625 0.875
Te11 Te 0.875 0.625 0.250
Te12 Te 0.875 0.750 0.625
S1 S 0.037 0.206 0.144
S2 S 0.037 0.331 0.893
S3 S 0.062 0.706 0.669
S4 S 0.062 0.856 0.393
S5 S 0.107 0.644 0.438
S6 S 0.107 0.963 0.669
S7 S 0.144 0.037 0.206
S8 S 0.144 0.607 0.938
S9 S 0.169 0.206 0.562
S10 S 0.169 0.463 0.607
S11 S 0.206 0.144 0.037
S12 S 0.206 0.562 0.169
S13 S 0.294 0.331 0.938
S14 S 0.294 0.463 0.356
S15 S 0.331 0.893 0.037
S16 S 0.331 0.938 0.294
S17 S 0.356 0.294 0.463
S18 S 0.356 0.562 0.893
S19 S 0.393 0.062 0.856
S20 S 0.393 0.831 0.537
S21 S 0.438 0.107 0.644
S22 S 0.438 0.831 0.794
S23 S 0.463 0.356 0.294
S24 S 0.463 0.607 0.169
S25 S 0.537 0.393 0.831
S26 S 0.537 0.644 0.706
S27 S 0.562 0.169 0.206
S28 S 0.562 0.893 0.356
S29 S 0.607 0.169 0.463
S30 S 0.607 0.938 0.144
S31 S 0.644 0.438 0.107
S32 S 0.644 0.706 0.537
S33 S 0.669 0.062 0.706
S34 S 0.669 0.107 0.963
S35 S 0.706 0.537 0.644
S36 S 0.706 0.669 0.062
S37 S 0.794 0.438 0.831
S38 S 0.794 0.856 0.963
S39 S 0.831 0.537 0.393
S40 S 0.831 0.794 0.438
S41 S 0.856 0.393 0.062
S42 S 0.856 0.963 0.794
S43 S 0.893 0.037 0.331
S44 S 0.893 0.356 0.562
S45 S 0.938 0.144 0.607
S46 S 0.938 0.294 0.331
S47 S 0.963 0.669 0.107
S48 S 0.963 0.794 0.856
```

---

Record 2
Entry from Alexandria: a relaxed structure of In2TeS2 (PBE).

Properties
uncorrected formation energy = -0.17 eV per formula unit
space group = No. 139

```
data_In2TeS2
_cell_length_a 6.114
_cell_length_b 6.114
_cell_length_c 6.114
_cell_angle_alpha 132.61
_cell_angle_beta 132.61
_cell_angle_gamma 69.27
_space_group_name_H-M_alt 'P 1'
_space_group_IT_number 1
loop_
_space_group_symop_operation_xyz
'x,y,z'
loop_
_atom_site_label
_atom_site_type_symbol
_atom_site_fract_x
_atom_site_fract_y
_atom_site_fract_z
In1 In 0.143 0.143 0.000
In2 In 0.857 0.857 0.000
Te1 Te 0.500 0.500 0.000
S1 S 0.250 0.750 0.500
S2 S 0.750 0.250 0.500
```

---

Record 3
Entry from Alexandria: a relaxed structure of In4Te3S (PBE).

Properties
uncorrected formation energy = -2.11 eV per formula unit
space group = No. 31

```
data_In4Te3S
_cell_length_a 8.804
_cell_length_b 10.055
_cell_length_c 6.224
_cell_angle_alpha 90.00
_cell_angle_beta 90.00
_cell_angle_gamma 90.00
_space_group_name_H-M_alt 'P 1'
_space_group_IT_number 1
loop_
_space_group_symop_operation_xyz
'x,y,z'
loop_
_atom_site_label
_atom_site_type_symbol
_atom_site_fract_x
_atom_site_fract_y
_atom_site_fract_z
In1 In 0.000 0.103 0.000
In2 In 0.000 0.807 0.424
In3 In 0.236 0.326 0.488
In4 In 0.264 0.674 0.988
In5 In 0.500 0.193 0.924
In6 In 0.500 0.897 0.500
In7 In 0.736 0.674 0.988
In8 In 0.764 0.326 0.488
Te1 Te 0.000 0.088 0.504
Te2 Te 0.228 0.343 0.993
Te3 Te 0.272 0.657 0.493
Te4 Te 0.500 0.912 0.004
Te5 Te 0.728 0.657 0.493
Te6 Te 0.772 0.343 0.993
S1 S 0.000 0.818 0.009
S2 S 0.500 0.182 0.509
```

---

Record 4
Entry from Alexandria: a relaxed structure of In12Te3S5 (PBE).

Properties
uncorrected formation energy = -2.56 eV per formula unit
space group = No. 230

```
data_In12Te3S5
_cell_length_a 15.261
_cell_length_b 15.261
_cell_length_c 15.261
_cell_angle_alpha 109.47
_cell_angle_beta 109.47
_cell_angle_gamma 109.47
_space_group_name_H-M_alt 'P 1'
_space_group_IT_number 1
loop_
_space_group_symop_operation_xyz
'x,y,z'
loop_
_atom_site_label
_atom_site_type_symbol
_atom_site_fract_x
_atom_site_fract_y
_atom_site_fract_z
In1 In 0.043 0.215 0.134
In2 In 0.043 0.328 0.909
In3 In 0.081 0.715 0.672
In4 In 0.081 0.866 0.409
In5 In 0.091 0.634 0.419
In6 In 0.091 0.957 0.672
In7 In 0.134 0.043 0.215
In8 In 0.134 0.591 0.919
In9 In 0.172 0.215 0.581
In10 In 0.172 0.457 0.591
In11 In 0.215 0.134 0.043
In12 In 0.215 0.581 0.172
In13 In 0.285 0.328 0.919
In14 In 0.285 0.457 0.366
In15 In 0.328 0.909 0.043
In16 In 0.328 0.919 0.285
In17 In 0.366 0.285 0.457
In18 In 0.366 0.581 0.909
In19 In 0.409 0.081 0.866
In20 In 0.409 0.828 0.543
In21 In 0.419 0.091 0.634
In22 In 0.419 0.828 0.785
In23 In 0.457 0.366 0.285
In24 In 0.457 0.591 0.172
In25 In 0.543 0.409 0.828
In26 In 0.543 0.634 0.715
In27 In 0.581 0.172 0.215
In28 In 0.581 0.909 0.366
In29 In 0.591 0.172 0.457
In30 In 0.591 0.919 0.134
In31 In 0.634 0.419 0.091
In32 In 0.634 0.715 0.543
In33 In 0.672 0.081 0.715
In34 In 0.672 0.091 0.957
In35 In 0.715 0.543 0.634
In36 In 0.715 0.672 0.081
In37 In 0.785 0.419 0.828
In38 In 0.785 0.866 0.957
In39 In 0.828 0.543 0.409
In40 In 0.828 0.785 0.419
In41 In 0.866 0.409 0.081
In42 In 0.866 0.957 0.785
In43 In 0.909 0.043 0.328
In44 In 0.909 0.366 0.581
In45 In 0.919 0.134 0.591
In46 In 0.919 0.285 0.328
In47 In 0.957 0.672 0.091
In48 In 0.957 0.785 0.866
Te1 Te 0.125 0.250 0.375
Te2 Te 0.125 0.375 0.750
Te3 Te 0.250 0.375 0.125
Te4 Te 0.250 0.875 0.625
Te5 Te 0.375 0.125 0.250
Te6 Te 0.375 0.750 0.125
Te7 Te 0.625 0.250 0.875
Te8 Te 0.625 0.875 0.750
Te9 Te 0.750 0.125 0.375
Te10 Te 0.750 0.625 0.875
Te11 Te 0.875 0.625 0.250
Te12 Te 0.875 0.750 0.625
S1 S 0.000 0.000 0.000
S2 S 0.000 0.000 0.500
S3 S 0.000 0.500 0.000
S4 S 0.000 0.500 0.500
S5 S 0.125 0.750 0.875
S6 S 0.125 0.875 0.250
S7 S 0.250 0.125 0.875
S8 S 0.250 0.625 0.375
S9 S 0.375 0.250 0.625
S10 S 0.375 0.625 0.750
S11 S 0.500 0.000 0.000
S12 S 0.500 0.000 0.500
S13 S 0.500 0.500 0.000
S14 S 0.500 0.500 0.500
S15 S 0.625 0.375 0.250
S16 S 0.625 0.750 0.375
S17 S 0.750 0.375 0.625
S18 S 0.750 0.875 0.125
S19 S 0.875 0.125 0.750
S20 S 0.875 0.250 0.125
```

---

Record 5
Entry from Alexandria: a relaxed structure of InTeS5 (PBE).

Properties
uncorrected formation energy = 1.32 eV per formula unit
space group = No. 15

```
data_InTeS5
_cell_length_a 10.881
_cell_length_b 10.881
_cell_length_c 3.663
_cell_angle_alpha 99.61
_cell_angle_beta 99.61
_cell_angle_gamma 56.30
_space_group_name_H-M_alt 'P 1'
_space_group_IT_number 1
loop_
_space_group_symop_operation_xyz
'x,y,z'
loop_
_atom_site_label
_atom_site_type_symbol
_atom_site_fract_x
_atom_site_fract_y
_atom_site_fract_z
In1 In 0.000 0.500 0.000
In2 In 0.500 0.000 0.500
Te1 Te 0.221 0.779 0.750
Te2 Te 0.779 0.221 0.250
S1 S 0.052 0.169 0.861
S2 S 0.169 0.052 0.361
S3 S 0.194 0.407 0.550
S4 S 0.379 0.621 0.250
S5 S 0.407 0.194 0.050
S6 S 0.593 0.806 0.950
S7 S 0.621 0.379 0.750
S8 S 0.806 0.593 0.450
S9 S 0.831 0.948 0.639
S10 S 0.948 0.831 0.139
```

---

Record 6
Entry from Alexandria: a relaxed structure of In2TeS5 (PBE).

Properties
uncorrected formation energy = -1.64 eV per formula unit
space group = No. 63

```
data_In2TeS5
_cell_length_a 6.969
_cell_length_b 6.969
_cell_length_c 12.573
_cell_angle_alpha 90.00
_cell_angle_beta 90.00
_cell_angle_gamma 135.36
_space_group_name_H-M_alt 'P 1'
_space_group_IT_number 1
loop_
_space_group_symop_operation_xyz
'x,y,z'
loop_
_atom_site_label
_atom_site_type_symbol
_atom_site_fract_x
_atom_site_fract_y
_atom_site_fract_z
In1 In 0.154 0.846 0.558
In2 In 0.154 0.846 0.942
In3 In 0.846 0.154 0.058
In4 In 0.846 0.154 0.442
Te1 Te 0.187 0.813 0.250
Te2 Te 0.813 0.187 0.750
S1 S 0.046 0.954 0.115
S2 S 0.046 0.954 0.385
S3 S 0.248 0.752 0.750
S4 S 0.317 0.683 0.065
S5 S 0.317 0.683 0.435
S6 S 0.683 0.317 0.565
S7 S 0.683 0.317 0.935
S8 S 0.752 0.248 0.250
S9 S 0.954 0.046 0.615
S10 S 0.954 0.046 0.885
```

---

Record 7
Entry from Alexandria: a relaxed structure of InTeS2 (PBE).

Properties
uncorrected formation energy = 0.21 eV per formula unit
space group = No. 122

```
data_InTeS2
_cell_length_a 6.343
_cell_length_b 6.343
_cell_length_c 6.343
_cell_angle_alpha 109.38
_cell_angle_beta 109.38
_cell_angle_gamma 109.66
_space_group_name_H-M_alt 'P 1'
_space_group_IT_number 1
loop_
_space_group_symop_operation_xyz
'x,y,z'
loop_
_atom_site_label
_atom_site_type_symbol
_atom_site_fract_x
_atom_site_fract_y
_atom_site_fract_z
In1 In 0.000 0.000 0.000
In2 In 0.750 0.250 0.500
Te1 Te 0.250 0.750 0.500
Te2 Te 0.500 0.500 0.000
S1 S 0.111 0.125 0.486
S2 S 0.375 0.889 0.014
S3 S 0.639 0.625 0.514
S4 S 0.875 0.361 0.986
```

---

Record 8
Entry from Alexandria: a relaxed structure of In3TeS (PBE).

Properties
uncorrected formation energy = 0.20 eV per formula unit
space group = No. 221

```
data_In3TeS
_cell_length_a 5.462
_cell_length_b 5.462
_cell_length_c 5.462
_cell_angle_alpha 90.00
_cell_angle_beta 90.00
_cell_angle_gamma 90.00
_space_group_name_H-M_alt 'P 1'
_space_group_IT_number 1
loop_
_space_group_symop_operation_xyz
'x,y,z'
loop_
_atom_site_label
_atom_site_type_symbol
_atom_site_fract_x
_atom_site_fract_y
_atom_site_fract_z
In1 In 0.000 0.000 0.500
In2 In 0.000 0.500 0.000
In3 In 0.500 0.000 0.000
Te1 Te 0.500 0.500 0.500
S1 S 0.000 0.000 0.000
```

---

Record 9
Entry from Alexandria: a relaxed structure of In2TeS2 (PBE).

Properties
uncorrected formation energy = -0.86 eV per formula unit
space group = No. 12

```
data_In2TeS2
_cell_length_a 12.640
_cell_length_b 12.640
_cell_length_c 7.029
_cell_angle_alpha 91.53
_cell_angle_beta 91.53
_cell_angle_gamma 17.84
_space_group_name_H-M_alt 'P 1'
_space_group_IT_number 1
loop_
_space_group_symop_operation_xyz
'x,y,z'
loop_
_atom_site_label
_atom_site_type_symbol
_atom_site_fract_x
_atom_site_fract_y
_atom_site_fract_z
In1 In 0.088 0.088 0.481
In2 In 0.328 0.328 0.962
In3 In 0.672 0.672 0.038
In4 In 0.912 0.912 0.519
Te1 Te 0.284 0.284 0.420
Te2 Te 0.716 0.716 0.580
S1 S 0.129 0.129 0.794
S2 S 0.440 0.440 0.707
S3 S 0.560 0.560 0.293
S4 S 0.871 0.871 0.206
```

---

Record 10
Entry from Alexandria: a relaxed structure of In4TeS3 (PBE).

Properties
uncorrected formation energy = -2.99 eV per formula unit
space group = No. 31

```
data_In4TeS3
_cell_length_a 8.119
_cell_length_b 9.684
_cell_length_c 6.814
_cell_angle_alpha 90.00
_cell_angle_beta 90.00
_cell_angle_gamma 90.00
_space_group_name_H-M_alt 'P 1'
_space_group_IT_number 1
loop_
_space_group_symop_operation_xyz
'x,y,z'
loop_
_atom_site_label
_atom_site_type_symbol
_atom_site_fract_x
_atom_site_fract_y
_atom_site_fract_z
In1 In 0.000 0.129 0.000
In2 In 0.000 0.866 0.528
In3 In 0.206 0.349 0.516
In4 In 0.294 0.651 0.016
In5 In 0.500 0.134 0.028
In6 In 0.500 0.871 0.500
In7 In 0.706 0.651 0.016
In8 In 0.794 0.349 0.516
Te1 Te 0.000 0.851 0.113
Te2 Te 0.500 0.149 0.613
S1 S 0.000 0.114 0.630
S2 S 0.244 0.268 0.112
S3 S 0.256 0.732 0.612
S4 S 0.500 0.886 0.130
S5 S 0.744 0.732 0.612
S6 S 0.756 0.268 0.112
```

---

Record 11
Entry from Alexandria: a relaxed structure of InTe2S6 (PBE).

Properties
uncorrected formation energy = -0.24 eV per formula unit
space group = No. 12

```
data_InTe2S6
_cell_length_a 6.911
_cell_length_b 6.911
_cell_length_c 10.900
_cell_angle_alpha 116.21
_cell_angle_beta 116.21
_cell_angle_gamma 31.34
_space_group_name_H-M_alt 'P 1'
_space_group_IT_number 1
loop_
_space_group_symop_operation_xyz
'x,y,z'
loop_
_atom_site_label
_atom_site_type_symbol
_atom_site_fract_x
_atom_site_fract_y
_atom_site_fract_z
In1 In 0.000 0.000 0.000
Te1 Te 0.334 0.334 0.673
Te2 Te 0.666 0.666 0.327
S1 S 0.006 0.006 0.248
S2 S 0.324 0.324 0.405
S3 S 0.341 0.341 0.908
S4 S 0.659 0.659 0.092
S5 S 0.676 0.676 0.595
S6 S 0.994 0.994 0.752
```

---

Record 12
Entry from Alexandria: a relaxed structure of In12Te5S3 (PBE).

Properties
uncorrected formation energy = -1.80 eV per formula unit
space group = No. 230

```
data_In12Te5S3
_cell_length_a 15.649
_cell_length_b 15.649
_cell_length_c 15.649
_cell_angle_alpha 109.47
_cell_angle_beta 109.47
_cell_angle_gamma 109.47
_space_group_name_H-M_alt 'P 1'
_space_group_IT_number 1
loop_
_space_group_symop_operation_xyz
'x,y,z'
loop_
_atom_site_label
_atom_site_type_symbol
_atom_site_fract_x
_atom_site_fract_y
_atom_site_fract_z
In1 In 0.049 0.723 0.656
In2 In 0.049 0.826 0.394
In3 In 0.067 0.223 0.174
In4 In 0.067 0.344 0.894
In5 In 0.106 0.674 0.451
In6 In 0.106 0.933 0.656
In7 In 0.156 0.223 0.549
In8 In 0.156 0.433 0.606
In9 In 0.174 0.067 0.223
In10 In 0.174 0.606 0.951
In11 In 0.223 0.174 0.067
In12 In 0.223 0.549 0.156
In13 In 0.277 0.344 0.951
In14 In 0.277 0.433 0.326
In15 In 0.326 0.277 0.433
In16 In 0.326 0.549 0.894
In17 In 0.344 0.894 0.067
In18 In 0.344 0.951 0.277
In19 In 0.394 0.049 0.826
In20 In 0.394 0.844 0.567
In21 In 0.433 0.326 0.277
In22 In 0.433 0.606 0.156
In23 In 0.451 0.106 0.674
In24 In 0.451 0.844 0.777
In25 In 0.549 0.156 0.223
In26 In 0.549 0.894 0.326
In27 In 0.567 0.394 0.844
In28 In 0.567 0.674 0.723
In29 In 0.606 0.156 0.433
In30 In 0.606 0.951 0.174
In31 In 0.656 0.049 0.723
In32 In 0.656 0.106 0.933
In33 In 0.674 0.451 0.106
In34 In 0.674 0.723 0.567
In35 In 0.723 0.567 0.674
In36 In 0.723 0.656 0.049
In37 In 0.777 0.451 0.844
In38 In 0.777 0.826 0.933
In39 In 0.826 0.394 0.049
In40 In 0.826 0.933 0.777
In41 In 0.844 0.567 0.394
In42 In 0.844 0.777 0.451
In43 In 0.894 0.067 0.344
In44 In 0.894 0.326 0.549
In45 In 0.933 0.656 0.106
In46 In 0.933 0.777 0.826
In47 In 0.951 0.174 0.606
In48 In 0.951 0.277 0.344
Te1 Te 0.000 0.000 0.000
Te2 Te 0.000 0.000 0.500
Te3 Te 0.000 0.500 0.000
Te4 Te 0.000 0.500 0.500
Te5 Te 0.125 0.750 0.875
Te6 Te 0.125 0.875 0.250
Te7 Te 0.250 0.125 0.875
Te8 Te 0.250 0.625 0.375
Te9 Te 0.375 0.250 0.625
Te10 Te 0.375 0.625 0.750
Te11 Te 0.500 0.000 0.000
Te12 Te 0.500 0.000 0.500
Te13 Te 0.500 0.500 0.000
Te14 Te 0.500 0.500 0.500
Te15 Te 0.625 0.375 0.250
Te16 Te 0.625 0.750 0.375
Te17 Te 0.750 0.375 0.625
Te18 Te 0.750 0.875 0.125
Te19 Te 0.875 0.125 0.750
Te20 Te 0.875 0.250 0.125
S1 S 0.125 0.250 0.375
S2 S 0.125 0.375 0.750
S3 S 0.250 0.375 0.125
S4 S 0.250 0.875 0.625
S5 S 0.375 0.125 0.250
S6 S 0.375 0.750 0.125
S7 S 0.625 0.250 0.875
S8 S 0.625 0.875 0.750
S9 S 0.750 0.125 0.375
S10 S 0.750 0.625 0.875
S11 S 0.875 0.625 0.250
S12 S 0.875 0.750 0.625
```